(1)
Here is a geometry-optimized Cs2BaU3S8 structure from Alexandria via LeMat-Bulk. Energies are from GGA-PBE.

Computed properties:
SG: No. 160
Calculated density (g/cm³): 4.72
Calculated total energy (eV per atom): -6.46
Magnetic moment (μB per formula unit): 6.0

Cell: 8.3068 8.3069 9.3982 Å, 63.77 63.77 60.00°
Last column: nearest neighbours and their distance in Å.
Fractional coordinates of all 14 atoms:
S: 0.3056 0.7550 0.1843  2 U 2.72, 1 Ba 2.98
S: 0.2377 0.6885 0.8360  2 U 2.65
S: 0.6885 0.2378 0.8359  2 U 2.65
U: 0.4985 0.4984 0.0022  6 S 2.65-2.84
U: 0.4985 0.0009 0.0022  6 S 2.65-2.84
Cs: 0.4962 0.4964 0.5112  6 S 3.40-3.41
S: 0.7550 0.3056 0.1844  2 U 2.72, 1 Ba 2.98
Ba: 0.8818 0.8818 0.3546  3 S 2.98
U: 0.0009 0.4984 0.0022  6 S 2.65-2.84
S: 0.2378 0.2378 0.8359  2 U 2.65
S: 0.7279 0.7278 0.8164  3 U 2.84
S: 0.7550 0.7550 0.1844  2 U 2.72, 1 Ba 2.98
S: 0.2746 0.2745 0.1763  3 U 2.77
Cs: 0.1347 0.1347 0.5959  4 S 3.27-3.39



(2)
Here is a geometry-optimized CsBa2US5 structure from Alexandria via LeMat-Bulk. Energies are from GGA-PBE.

Computed properties:
SG: No. 71
Calculated density (g/cm³): 4.45
Calculated total energy (eV per atom): -5.79
Magnetic moment (μB per formula unit): 1.0

Cell: 5.2015 7.8382 8.7485 Å, 116.61 107.29 90.00°
Last column: nearest neighbours and their distance in Å.
Fractional coordinates of all 9 atoms:
S: 0.6316 0.3563 0.2631  1 U 2.62
S: 0.3684 0.6437 0.7369  1 U 2.62
Cs: 0.0000 0.5000 0.0000  10 S 3.90-3.92
S: 0.0000 0.0000 0.0000  2 U 2.60
Ba: 0.7860 0.7860 0.5721  7 S 3.14-3.37
U: 0.5000 0.0000 0.0000  6 S 2.60-2.62
Ba: 0.2140 0.2140 0.4279  7 S 3.14-3.37
S: 0.3684 0.0931 0.7369  1 U 2.62
S: 0.6316 0.9069 0.2631  1 U 2.62